1.
A plane-wave DFT calculation with PBE with a Hubbard U was carried out for LaFeO3 after structural relaxation.

Output
Its symmetry is Pm-3m (221). The calculation puts the total magnetization at 0.760 μB/atom. Its density is 4.67 Mg/m³. The calculation puts the total energy at -0.4325 Ry per atom.

abc: 4.420 4.420 4.420
angles: 90.00 90.00 90.00
Sites, in units of the cell vectors:
La1 0.000 0.000 0.000
Fe1 0.500 0.500 0.500
O1 0.000 0.000 0.500
O2 0.000 0.500 0.000
O3 0.500 0.000 0.000

2.
A plane-wave DFT calculation with PBE with a Hubbard U was carried out for LaFeO3 after structural relaxation.

Output
Its symmetry is C2/c (15). The calculation puts the total magnetization at 1.000 μB/atom. Its density is 6.44 Mg/m³. The calculation puts the total energy at -0.5585 Ry per atom.

abc: 5.576 5.576 5.577
angles: 119.06 119.06 60.92
Sites, in units of the cell vectors:
La1 0.249 0.751 0.750
La2 0.751 0.249 0.250
Fe1 0.000 0.500 0.000
Fe2 0.500 0.000 0.500
O1 0.173 0.246 0.673
O2 0.246 0.173 0.173
O3 0.330 0.670 0.250
O4 0.670 0.330 0.750
O5 0.754 0.827 0.827
O6 0.827 0.754 0.327

3.
A plane-wave DFT calculation with PBE with a Hubbard U was carried out for LaFeO3 after structural relaxation.

Output
Its symmetry is Cmcm (63). The calculation puts the total magnetization at 0.602 μB/atom. Its density is 5.02 Mg/m³. The calculation puts the total energy at -0.5339 Ry per atom.

abc: 6.994 6.994 6.355
angles: 90.00 90.00 148.91
Sites, in units of the cell vectors:
La1 0.116 0.884 0.750
La2 0.884 0.116 0.250
Fe1 0.392 0.608 0.750
Fe2 0.608 0.392 0.250
O1 0.063 0.937 0.250
O2 0.359 0.641 0.029
O3 0.359 0.641 0.471
O4 0.641 0.359 0.529
O5 0.641 0.359 0.971
O6 0.937 0.063 0.750

4.
A plane-wave DFT calculation with PBE with a Hubbard U was carried out for La2Fe3O8 after structural relaxation.

Output
Its symmetry is P4/mmm (123). The calculation puts the total magnetization at 1.077 μB/atom. Its density is 5.12 Mg/m³. The calculation puts the total energy at -0.5264 Ry per atom.

abc: 3.881 3.881 12.348
angles: 90.00 90.00 90.00
Sites, in units of the cell vectors:
La1 0.000 0.000 0.172
La2 0.000 0.000 0.828
Fe1 0.500 0.500 0.000
Fe2 0.500 0.500 0.319
Fe3 0.500 0.500 0.681
O1 0.000 0.500 0.000
O2 0.000 0.500 0.313
O3 0.000 0.500 0.687
O4 0.500 0.000 0.000
O5 0.500 0.000 0.313
O6 0.500 0.000 0.687
O7 0.500 0.500 0.160
O8 0.500 0.500 0.840

5.
A plane-wave DFT calculation with PBE with a Hubbard U was carried out for LaFeOsO2 after structural relaxation.

Output
Its symmetry is P4/mmm (123). The calculation puts the total magnetization at 1.179 μB/atom. Its density is 5.18 Mg/m³. The calculation puts the total energy at -0.4369 Ry per atom.

abc: 4.154 4.154 7.743
angles: 90.00 90.00 90.00
Sites, in units of the cell vectors:
La1 0.000 0.000 0.000
Fe1 0.000 0.000 0.500
Os1 0.500 0.500 0.500
O1 0.000 0.500 0.000
O2 0.500 0.000 0.000

6.
A plane-wave DFT calculation with PBE with a Hubbard U was carried out for LaFePO after structural relaxation.

Output
Its symmetry is P4/nmm (129). The calculation puts the total magnetization at 0.972 μB/atom. Its density is 5.35 Mg/m³. The calculation puts the total energy at -0.5083 Ry per atom.

abc: 4.110 4.110 8.891
angles: 90.00 90.00 90.00
Sites, in units of the cell vectors:
La1 0.250 0.250 0.136
La2 0.750 0.750 0.864
Fe1 0.250 0.750 0.500
Fe2 0.750 0.250 0.500
P1 0.250 0.250 0.663
P2 0.750 0.750 0.337
O1 0.250 0.750 0.000
O2 0.750 0.250 0.000

7.
A plane-wave DFT calculation with PBE with a Hubbard U was carried out for LaPaFe2O8 after structural relaxation.

Output
Its symmetry is I-4m2 (119). The calculation puts the total magnetization at 0.666 μB/atom. Its density is 5.81 Mg/m³. The calculation puts the total energy at -0.5667 Ry per atom.

abc: 6.103 6.103 6.103
angles: 107.45 107.45 113.60
Sites, in units of the cell vectors:
La1 0.000 0.000 0.000
Pa1 0.250 0.750 0.500
Fe1 0.500 0.500 0.000
Fe2 0.750 0.250 0.500
O1 0.314 0.114 0.800
O2 0.314 0.513 0.200
O3 0.394 0.065 0.329
O4 0.487 0.686 0.800
O5 0.736 0.065 0.671
O6 0.886 0.686 0.200
O7 0.935 0.264 0.329
O8 0.935 0.606 0.671

8.
A plane-wave DFT calculation with PBE with a Hubbard U was carried out for LaPuFe2O8 after structural relaxation.

Output
Its symmetry is I-4m2 (119). The calculation puts the total magnetization at 0.917 μB/atom. Its density is 6.10 Mg/m³. The calculation puts the total energy at -0.5759 Ry per atom.

abc: 6.041 6.041 6.041
angles: 108.04 108.04 112.36
Sites, in units of the cell vectors:
La1 0.000 0.000 0.000
Pu1 0.750 0.250 0.500
Fe1 0.250 0.750 0.500
Fe2 0.500 0.500 0.000
O1 0.048 0.373 0.326
O2 0.048 0.722 0.674
O3 0.116 0.320 0.796
O4 0.278 0.952 0.326
O5 0.524 0.320 0.204
O6 0.627 0.952 0.674
O7 0.680 0.476 0.796
O8 0.680 0.884 0.204

9.
A plane-wave DFT calculation with PBE with a Hubbard U was carried out for LaPuFe2O6 after structural relaxation.

Output
Its symmetry is P2_1/c (14). The calculation puts the total magnetization at 0.500 μB/atom. Its density is 7.09 Mg/m³. The calculation puts the total energy at -0.6147 Ry per atom.

abc: 5.708 5.712 10.080
angles: 90.00 122.63 90.00
Sites, in units of the cell vectors:
La1 0.000 0.000 0.000
La2 0.000 0.500 0.500
Pu1 0.500 0.000 0.500
Pu2 0.500 0.500 0.000
Fe1 0.214 0.021 0.740
Fe2 0.214 0.479 0.240
Fe3 0.786 0.521 0.760
Fe4 0.786 0.979 0.260
O1 0.128 0.140 0.265
O2 0.128 0.360 0.765
O3 0.240 0.644 0.067
O4 0.240 0.856 0.567
O5 0.463 0.186 0.094
O6 0.463 0.314 0.594
O7 0.537 0.686 0.406
O8 0.537 0.814 0.906
O9 0.760 0.144 0.433
O10 0.760 0.356 0.933
O11 0.872 0.640 0.235
O12 0.872 0.860 0.735

10.
A plane-wave DFT calculation with PBE with a Hubbard U was carried out for RbLaFeO3 after structural relaxation.

Output
Its symmetry is P2_1/m (11). The calculation puts the total magnetization at 0.333 μB/atom. Its density is 4.19 Mg/m³. The calculation puts the total energy at -0.4699 Ry per atom.

abc: 7.807 3.822 9.148
angles: 90.00 107.68 90.00
Sites, in units of the cell vectors:
Rb1 0.184 0.250 0.177
Rb2 0.816 0.750 0.823
La1 0.333 0.750 0.852
La2 0.667 0.250 0.148
Fe1 0.041 0.250 0.622
Fe2 0.959 0.750 0.378
O1 0.066 0.750 0.601
O2 0.131 0.250 0.845
O3 0.458 0.750 0.119
O4 0.542 0.250 0.881
O5 0.869 0.750 0.155
O6 0.934 0.250 0.399